# Mn3AsO6 GGA+U relaxed
# Energy above the most stable polymorph in this dataset: 36 meV per atom
data_Mn3AsO6
_cell_length_a 5.2356
_cell_length_b 7.1653
_cell_length_c 7.1653
_cell_angle_alpha 106.20
_cell_angle_beta 90.00
_cell_angle_gamma 90.00
_symmetry_space_group_name_H-M 'P 1'
_symmetry_Int_Tables_number 1
loop_
_symmetry_equiv_pos_as_xyz
'x,y,z'
loop_
_atom_site_label
_atom_site_fract_x
_atom_site_fract_y
_atom_site_fract_z
_atom_site_occupancy
Mn1 0.4716 0.9110 0.6961 1
Mn2 0.9716 0.6961 0.9110 1
Mn3 0.4194 0.4545 0.5455 1
Mn4 0.9194 0.5455 0.4545 1
Mn5 0.9716 0.0890 0.3039 1
Mn6 0.4716 0.3039 0.0890 1
As1 0.0317 0.1979 0.8021 1
As2 0.5317 0.8021 0.1979 1
O1 0.1851 0.6755 0.6332 1
O2 0.6851 0.6332 0.6755 1
O3 0.1581 0.4272 0.8912 1
O4 0.6581 0.8912 0.4272 1
O5 0.1991 0.0660 0.9340 1
O6 0.7054 0.1810 0.8190 1
O7 0.2054 0.8190 0.1810 1
O8 0.6991 0.9340 0.0660 1
O9 0.1581 0.1088 0.5728 1
O10 0.6581 0.5728 0.1088 1
O11 0.1851 0.3668 0.3245 1
O12 0.6851 0.3245 0.3668 1